[1]
Here is a PBEsol-optimized structure of Si3SnRh from the Alexandria database. Energies are from SCAN.

Cell: 4.9180 4.9180 4.9180 Å, 90.00 90.00 90.00°
Sites, in units of the cell vectors:
Si: 0.0000 0.0000 0.5000
Si: 0.0000 0.5000 0.0000
Si: 0.5000 0.0000 0.0000
Sn: 0.0000 0.0000 0.0000
Rh: 0.5000 0.5000 0.5000

Summary:
energy	-17.99	eV/atom
ΔE_f (raw)	1960	meV/atom


[2]
Here is a PBEsol-optimized structure of CuRu2W from the Alexandria database. Energies are from SCAN.

Cell: 4.6799 4.6799 4.5613 Å, 99.65 99.65 33.62°
Sites, in units of the cell vectors:
Cu: 0.0000 0.0000 0.0000
Ru: 0.2476 0.2476 0.7506
Ru: 0.5076 0.5076 0.5064
W: 0.7517 0.7517 0.2542

Summary:
energy	-38.40	eV/atom
energy above the lowest structure with this stoichiometry	0.200	eV per atom
formation energy from the elements	234	meV/atom


[3]
Here is a PBEsol-optimized structure of Zr2GaCo3 from the Alexandria database. Energies are from SCAN.

Cell: 5.0018 5.0018 7.6315 Å, 90.00 90.00 120.00°
Sites, in units of the cell vectors:
Zr: 0.3333 0.6667 0.0618
Zr: 0.3333 0.6667 0.4382
Zr: 0.6667 0.3333 0.5618
Zr: 0.6667 0.3333 0.9382
Ga: 0.0000 0.0000 0.0000
Ga: 0.0000 0.0000 0.5000
Co: 0.1722 0.3445 0.7500
Co: 0.1722 0.8278 0.7500
Co: 0.3445 0.1722 0.2500
Co: 0.6555 0.8278 0.7500
Co: 0.8278 0.1722 0.2500
Co: 0.8278 0.6555 0.2500

Summary:
energy	-21.98	eV/atom
formation energy from the elements	-367	meV/atom